No. 1
The following is a DFT calculation (PBE) of a relaxed AcPm3Co crystal.

Summary:
Formation enthalpy at 0 K: -0.009 eV/atom

Cell: 9.7007 6.7184 10.2175 Å, 90.00 100.29 90.00°
With the nearest neighbours (Å) after each atom.
Space group P2_1/c (No. 14)
Asymmetric unit:
Ac (0.0761, 0.0749, 0.1828) [4 per cell]  9 Pm 3.77-4.01, 3 Ac 3.90-4.01
Pm (0.1807, 0.5840, 0.0505) [4 per cell]  1 Co 2.64
Pm (0.3127, 0.0736, 0.9233) [4 per cell]  2 Co 2.69-2.75
Pm (0.4521, 0.5916, 0.8294) [4 per cell]  3 Co 2.77-2.79
Co (0.4259, 0.7358, 0.5727) [4 per cell]  6 Pm 2.64-2.79

***

No. 2
The following is a DFT calculation (PBE) of a relaxed CsNa2SrW crystal.

Summary:
Formation enthalpy at 0 K: 1.403 eV/atom

Cell: 6.8768 6.8768 6.2924 Å, 90.00 90.00 90.00°
With the nearest neighbours (Å) after each atom.
Space group P4/mmm (No. 123)
Asymmetric unit:
Cs (0.0000, 0.0000, 0.0000) [1 per cell]  8 Na 4.66, 4 W 4.86
Na (0.0000, 0.5000, 0.5000) [2 per cell]  2 Sr 3.44
Sr (0.5000, 0.5000, 0.5000) [1 per cell]  2 W 3.15, 4 Na 3.44
W (0.5000, 0.5000, 0.0000) [1 per cell]  2 Sr 3.15

***

No. 3
The following is a DFT calculation (PBE) of a relaxed Ca3OsO crystal.

Summary:
Raw formation energy: -0.78 eV per atom

Cell: 4.6636 4.6636 4.6636 Å, 90.00 90.00 90.00°
With the nearest neighbours (Å) after each atom.
Space group Pm-3m (No. 221)
Asymmetric unit:
Ca (0.0000, 0.0000, 0.5000) [3 per cell]  2 O 2.33
Os (0.5000, 0.5000, 0.5000) [1 per cell]  12 Ca 3.30
O (0.0000, 0.0000, 0.0000) [1 per cell]  6 Ca 2.33

***

No. 4
The following is a DFT calculation (PBE) of a relaxed YZn2Au10 crystal.

Summary:
Formation enthalpy at 0 K: -0.252 eV/atom

Cell: 5.5218 13.2121 13.4674 Å, 90.00 90.00 90.00°
With the nearest neighbours (Å) after each atom.
Space group Fmmm (No. 69)
Asymmetric unit:
Y (0.0000, 0.0000, 0.0000) [4 per cell]  12 Au 3.14-3.42
Zn (0.2500, 0.2500, 0.0000) [8 per cell]  8 Au 2.69-2.75, 2 Zn 2.76
Au (0.0000, 0.1106, 0.3964) [16 per cell]  2 Zn 2.69, 7 Au 2.79-2.98
Au (0.0000, 0.1734, 0.1600) [16 per cell]  2 Zn 2.75, 5 Au 2.94-2.98
Au (0.2500, 0.0000, 0.2500) [8 per cell]  10 Au 2.76-2.94

***

No. 5
The following is a DFT calculation (PBE) of a relaxed Li3TlBr6 crystal.

Summary:
Raw formation energy: -1.05 eV per atom

Cell: 11.0068 16.5522 7.2044 Å, 90.00 90.00 90.00°
With the nearest neighbours (Å) after each atom.
Space group Cmc2_1 (No. 36)
Asymmetric unit:
Li (0.0000, 0.0309, 0.0000) [4 per cell]  4 Br 2.69
Li (0.2320, 0.4241, 0.9196) [8 per cell]  4 Br 2.56-2.74
Tl (0.0000, 0.2853, 0.2897) [4 per cell]  4 Br 2.57-2.73
Br (0.0000, 0.3495, 0.6148) [4 per cell]  1 Tl 2.57
Br (0.0000, 0.4143, 0.0548) [4 per cell]  1 Tl 2.73, 2 Li 2.74
Br (0.1671, 0.0353, 0.7268) [8 per cell]  4 Li 2.56-2.69
Br (0.1910, 0.1987, 0.2006) [8 per cell]  1 Tl 2.62, 1 Li 2.71

***

No. 6
The following is a DFT calculation (PBE) of a relaxed SbMo2WBr crystal.

Summary:
Raw formation energy: 1.57 eV per atom

Cell: 4.9834 4.9834 4.7955 Å, 90.00 90.00 90.00°
With the nearest neighbours (Å) after each atom.
Space group P4/mmm (No. 123)
Asymmetric unit:
Sb (0.0000, 0.0000, 0.0000) [1 per cell]  8 Mo 3.46, 4 Br 3.52
Mo (0.0000, 0.5000, 0.5000) [2 per cell]  2 W 2.49
W (0.5000, 0.5000, 0.5000) [1 per cell]  2 Br 2.40, 4 Mo 2.49
Br (0.5000, 0.5000, 0.0000) [1 per cell]  2 W 2.40

***

No. 7
The following is a DFT calculation (PBE) of a relaxed Rb4Np3SbS8 crystal.

Summary:
Raw formation energy: -1.18 eV per atom

Cell: 8.2698 8.2698 22.9642 Å, 90.00 90.00 120.00°
With the nearest neighbours (Å) after each atom.
Space group R-3m (No. 166, hexagonal axes)
Asymmetric unit:
Rb (0.0000, 0.0000, 0.0000) [3 per cell]  6 S 3.34
Rb (0.0000, 0.5000, 0.0000) [9 per cell]  6 S 3.36-3.37
Np (0.0000, 0.5000, 0.5000) [9 per cell]  6 S 2.79-2.80
Sb (0.0000, 0.0000, 0.5000) [3 per cell]  6 S 2.82
S (0.0000, 0.0000, 0.2298) [6 per cell]  3 Np 2.79
S (0.0027, 0.5013, 0.7693) [18 per cell]  2 Np 2.80, 1 Sb 2.82

***

No. 8
The following is a DFT calculation (PBE) of a relaxed Be2CrFe5W2 crystal.

Summary:
Formation enthalpy at 0 K: -0.028 eV/atom

Cell: 8.7314 8.7314 2.8446 Å, 90.00 90.00 90.00°
With the nearest neighbours (Å) after each atom.
Space group P4/mbm (No. 127)
Asymmetric unit:
Be (0.1226, 0.3774, 0.0000) [4 per cell]  6 Fe 2.08-2.13
Cr (0.0000, 0.0000, 0.0000) [2 per cell]  8 Fe 2.36
Fe (0.0000, 0.5000, 0.5000) [2 per cell]  4 Be 2.08
Fe (0.0643, 0.2055, 0.5000) [8 per cell]  2 Be 2.13, 2 Cr 2.36
W (0.1756, 0.6756, 0.0000) [4 per cell]  3 Be 2.49-2.64, 10 Fe 2.59-2.74

***

No. 9
The following is a DFT calculation (PBE) of a relaxed Ho4ScTl2 crystal.

Summary:
Formation enthalpy at 0 K: 0.241 eV/atom

Cell: 7.9734 7.9846 13.1721 Å, 90.00 90.00 90.00°
With the nearest neighbours (Å) after each atom.
Space group Fmmm (No. 69)
Asymmetric unit:
Ho (0.2500, 0.2500, 0.0000) [8 per cell]  2 Sc 2.82
Ho (0.2500, 0.2500, 0.2500) [8 per cell]  4 Tl 3.24, 2 Ho 3.29
Sc (0.0000, 0.0000, 0.0000) [4 per cell]  4 Ho 2.82
Tl (0.0000, 0.0000, 0.3709) [8 per cell]  8 Ho 3.24-3.29, 1 Tl 3.40

***

No. 10
The following is a DFT calculation (PBE) of a relaxed Pu2InAg crystal.

Summary:
Formation enthalpy at 0 K: -0.075 eV/atom

Cell: 4.3640 4.3640 4.9487 Å, 90.00 90.00 90.00°
With the nearest neighbours (Å) after each atom.
Space group P4/mmm (No. 123)
Asymmetric unit:
Pu (0.0000, 0.5000, 0.0000) [2 per cell]  4 Pu 3.09, 4 In 3.30, 4 Ag 3.30
In (0.0000, 0.0000, 0.5000) [1 per cell]  4 Ag 3.09, 8 Pu 3.30
Ag (0.5000, 0.5000, 0.5000) [1 per cell]  4 In 3.09, 8 Pu 3.30

***

No. 11
The following is a DFT calculation (PBE) of a relaxed Nd4Tm10Sc crystal.

Summary:
Formation enthalpy at 0 K: 0.272 eV/atom

Cell: 11.1763 11.1763 7.7874 Å, 90.00 90.00 90.00°
With the nearest neighbours (Å) after each atom.
Space group I4/mmm (No. 139)
Asymmetric unit:
Nd (0.2275, 0.2275, 0.0000) [8 per cell]  8 Tm 3.41-3.53, 1 Sc 3.60
Tm (0.0000, 0.2073, 0.2912) [16 per cell]  1 Sc 3.24, 4 Tm 3.25-3.29, 4 Nd 3.41-3.53
Tm (0.0000, 0.5000, 0.2500) [4 per cell]  4 Tm 3.29
Sc (0.0000, 0.0000, 0.0000) [2 per cell]  8 Tm 3.24, 4 Nd 3.60

***

No. 12
The following is a DFT calculation (PBE) of a relaxed PaAlGa crystal.

Summary:
Formation enthalpy at 0 K: -0.320 eV/atom

Cell: 5.4556 5.5124 7.7815 Å, 90.00 90.00 90.00°
With the nearest neighbours (Å) after each atom.
Space group Imma (No. 74)
Asymmetric unit:
Pa (0.0000, 0.2500, 0.1377) [4 per cell]  6 Al 3.14-3.24, 6 Ga 3.20-3.31, 4 Pa 3.24-3.49
Al (0.0000, 0.0000, 0.5000) [4 per cell]  4 Ga 2.75, 2 Al 2.76
Ga (0.2500, 0.2500, 0.7500) [4 per cell]  2 Ga 2.73, 4 Al 2.75

***

No. 13
The following is a DFT calculation (PBE) of a relaxed Sm5Ho2Sb4 crystal.

Summary:
Raw formation energy: -0.56 eV per atom

Cell: 22.5432 4.0683 7.9953 Å, 90.00 97.09 90.00°
With the nearest neighbours (Å) after each atom.
Space group C2/m (No. 12)
Asymmetric unit:
Sm (0.0000, 0.0000, 0.0000) [2 per cell]  4 Sb 3.27
Sm (0.0592, 0.5000, 0.3764) [4 per cell]  4 Sb 3.12-3.24
Sm (0.1834, 0.5000, 0.0816) [4 per cell]  3 Sb 3.16-3.19, 1 Ho 3.50
Ho (0.2007, 0.5000, 0.6524) [4 per cell]  4 Sb 3.06-3.15
Sb (0.0749, 0.5000, 0.7844) [4 per cell]  5 Sm 3.13-3.27, 1 Ho 3.15
Sb (0.1639, 0.0000, 0.3721) [4 per cell]  3 Ho 3.06-3.08, 4 Sm 3.12-3.16

***

No. 14
The following is a DFT calculation (PBE) of a relaxed Al2MoOs crystal.

Summary:
Formation enthalpy at 0 K: -0.212 eV/atom

Cell: 9.4736 2.9669 4.4340 Å, 90.00 108.22 90.00°
With the nearest neighbours (Å) after each atom.
Space group Cm (No. 8)
Asymmetric unit:
Al (0.0000, 0.0000, 0.0000) [2 per cell]  3 Os 2.62-2.87, 4 Mo 2.67-2.68, 3 Al 2.89-2.91
Al (0.2288, 0.0000, 0.6968) [2 per cell]  4 Os 2.65-2.69, 3 Mo 2.72-2.79, 5 Al 2.89-2.97
Mo (0.4768, 0.0000, 0.4857) [2 per cell]  2 Os 2.66, 7 Al 2.67-2.79, 2 Mo 2.97
Os (0.2392, 0.5000, 0.1987) [2 per cell]  7 Al 2.62-2.87, 2 Mo 2.66

***

No. 15
The following is a DFT calculation (PBE) of a relaxed Ca2MgReBr crystal.

Summary:
Raw formation energy: 0.38 eV per atom

Cell: 5.4678 5.4678 5.1157 Å, 90.00 90.00 90.00°
With the nearest neighbours (Å) after each atom.
Space group P4/mmm (No. 123)
Asymmetric unit:
Ca (0.0000, 0.5000, 0.0000) [2 per cell]  2 Re 2.73
Mg (0.0000, 0.0000, 0.5000) [1 per cell]  2 Re 2.56
Re (0.0000, 0.0000, 0.0000) [1 per cell]  2 Mg 2.56, 4 Ca 2.73
Br (0.5000, 0.5000, 0.5000) [1 per cell]  8 Ca 3.74, 4 Mg 3.87

***

No. 16
The following is a DFT calculation (PBE) of a relaxed Ho3AlCd3 crystal.

Summary:
Formation enthalpy at 0 K: -0.299 eV/atom

Cell: 3.5453 4.7965 20.4078 Å, 90.00 90.00 90.00°
With the nearest neighbours (Å) after each atom.
Space group Imm2 (No. 44)
Asymmetric unit:
Ho (0.0000, 0.0000, 0.0000) [2 per cell]  7 Cd 3.20-3.28, 2 Ho 3.55
Ho (0.0000, 0.0000, 0.3976) [2 per cell]  2 Al 3.18, 5 Cd 3.19-3.25, 2 Ho 3.55
Ho (0.0000, 0.5000, 0.2046) [2 per cell]  4 Al 3.25, 8 Cd 3.30-3.49, 2 Ho 3.55
Al (0.0000, 0.5000, 0.7684) [2 per cell]  3 Cd 2.72-2.83
Cd (0.0000, 0.0000, 0.5570) [2 per cell]  2 Cd 2.88, 4 Ho 3.20
Cd (0.0000, 0.0000, 0.8419) [2 per cell]  2 Al 2.83
Cd (0.0000, 0.5000, 0.6351) [2 per cell]  1 Al 2.72, 2 Cd 2.88

***

No. 17
The following is a DFT calculation (PBE) of a relaxed NaTeOs3 crystal.

Summary:
Raw formation energy: 2.92 eV per atom

Cell: 4.5367 4.5367 4.5367 Å, 90.00 90.00 90.00°
With the nearest neighbours (Å) after each atom.
Space group Pm-3m (No. 221)
Asymmetric unit:
Na (0.0000, 0.0000, 0.0000) [1 per cell]  6 Os 2.27
Te (0.5000, 0.5000, 0.5000) [1 per cell]  12 Os 3.21
Os (0.0000, 0.0000, 0.5000) [3 per cell]  2 Na 2.27

***

No. 18
The following is a DFT calculation (PBE) of a relaxed Tl2ZnMo crystal.

Summary:
Formation enthalpy at 0 K: 0.475 eV/atom

Cell: 4.0955 4.3636 9.7683 Å, 90.00 90.00 90.00°
With the nearest neighbours (Å) after each atom.
Space group Cmm2 (No. 35)
Asymmetric unit:
Tl (0.0000, 0.0000, 0.0000) [2 per cell]  4 Tl 2.99, 2 Zn 3.27
Tl (0.0000, 0.5000, 0.3175) [2 per cell]  4 Tl 2.99, 4 Mo 3.14-3.23
Zn (0.0000, 0.5000, 0.7386) [2 per cell]  4 Mo 2.68-2.79, 4 Zn 2.99
Mo (0.0000, 0.0000, 0.5609) [2 per cell]  4 Zn 2.68-2.79, 4 Mo 2.99

***

No. 19
The following is a DFT calculation (PBE) of a relaxed La14TbCe crystal.

Summary:
Formation enthalpy at 0 K: 0.021 eV/atom

Cell: 10.5036 10.4474 10.4431 Å, 90.00 90.00 90.00°
With the nearest neighbours (Å) after each atom.
Space group Amm2 (No. 38)
Asymmetric unit:
La (0.0000, 0.0000, 0.0000) [2 per cell]  12 La 3.68-3.73
La (0.0000, 0.0000, 0.5000) [2 per cell]  12 La 3.68-3.78
La (0.0000, 0.2482, 0.2502) [4 per cell]  12 La 3.68-3.74
La (0.2535, 0.0000, 0.7528) [4 per cell]  10 La 3.65-3.75, 1 Ce 3.66, 1 Tb 3.70
La (0.2553, 0.2469, 0.9999) [8 per cell]  1 Ce 3.64, 10 La 3.64-3.77, 1 Tb 3.69
La (0.2571, 0.0000, 0.2465) [4 per cell]  1 Ce 3.62, 10 La 3.64-3.78, 1 Tb 3.68
La (0.5000, 0.2481, 0.7504) [4 per cell]  8 La 3.66-3.67, 2 Ce 3.68-3.71, 2 Tb 3.68-3.70
Tb (0.5000, 0.0000, 0.5000) [2 per cell]  12 La 3.68-3.70
Ce (0.5000, 0.0000, 0.0001) [2 per cell]  12 La 3.62-3.71

***

No. 20
The following is a DFT calculation (PBE) of a relaxed CaNdPtAu crystal.

Summary:
Formation enthalpy at 0 K: -0.937 eV/atom

Cell: 4.4649 3.9827 11.2025 Å, 90.00 90.00 90.00°
With the nearest neighbours (Å) after each atom.
Space group Amm2 (No. 38)
Asymmetric unit:
Ca (0.0000, 0.0000, 0.0000) [2 per cell]  3 Pt 3.03-3.25, 4 Au 3.06
Nd (0.5000, 0.0000, 0.7225) [2 per cell]  4 Pt 3.04, 3 Au 3.14-3.17
Pt (0.0000, 0.0000, 0.2703) [2 per cell]  2 Au 2.95, 3 Ca 3.03-3.25, 4 Nd 3.04
Au (0.5000, 0.0000, 0.4426) [2 per cell]  2 Pt 2.95, 4 Ca 3.06, 3 Nd 3.14-3.17

***

no.,DOS at the Fermi energy (states/eV/f.u.),energy (eV for the cell shown)
1,5.37,-102.05
2,2.26,-11.11
3,1.96,-26.07
4,4.28,-180.26
5,0.00,-114.57
6,4.50,-32.57
7,32.01,-296.20
8,6.63,-171.14
9,9.00,-110.76
10,10.77,-34.55
11,23.79,-132.07
12,4.52,-68.90
13,11.67,-110.90
14,2.23,-60.79
15,3.36,-17.83
16,5.06,-44.63
17,5.27,-23.56
18,2.36,-29.88
19,32.23,-158.41
20,2.83,-39.67